TbAgSe2O8 after structural relaxation, computed with PBE.

Geometry as CIF:
```
data_TbAgSe2O8
_chemical_formula_sum 'Tb2 Ag2 Se4 O16'
_cell_length_a 5.1377
_cell_length_b 5.1377
_cell_length_c 11.7209
_cell_angle_alpha 90.00
_cell_angle_beta 90.00
_cell_angle_gamma 90.00
_space_group_name_H-M_alt 'I -4'
_space_group_IT_number 82
_space_group_name_Hall 'I -4'
loop_
_atom_site_label
_atom_site_fract_x
_atom_site_fract_y
_atom_site_fract_z
Tb1 0.0000 0.0000 0.0000
Ag1 0.0000 0.5000 0.2500
Se1 0.0000 0.0000 0.5000
Se2 0.0000 0.5000 0.7500
O1 0.1254 0.7420 0.8303
O2 0.1458 0.2418 0.4271
```

Output
- Uncorrected formation energy: -1.198 eV per atom
- M_tot: 0.00 μB/cell